[1]
AlZn4Cl: relaxed, PBE-GGA.

Calculated values
Size of the total moment = 0.000 μB per atom
Energy = -1.6781 eV/atom
Formation energy (no corrections) = 0.103 eV per atom

POSCAR file:
```
AlZn4Cl
1.0
0.0000 3.7517 3.7517
3.7517 0.0000 3.7517
3.7517 3.7517 0.0000
Al Zn Cl
1 4 1
Direct
0.7500 0.7500 0.7500
0.8710 0.3763 0.3763
0.3763 0.3763 0.8710
0.3763 0.8710 0.3763
0.3763 0.3763 0.3763
0.0000 0.0000 0.0000
```

***

[2]
Al2ZnCl: relaxed, PBE-GGA.

Calculated values
Size of the total moment = 0.000 μB per atom
Energy = -2.7697 eV/atom
Formation energy (no corrections) = -0.118 eV per atom

POSCAR file:
```
Al2ZnCl
1.0
10.1869 0.0640 0.0376
9.6937 3.1318 0.0376
9.6937 1.5583 2.7169
Zn Al Cl
1 2 1
Direct
0.7279 0.7279 0.7279
0.9897 0.9897 0.9897
0.2528 0.2528 0.2528
0.5296 0.5296 0.5296
```

***

[3]
AlZnCl4: relaxed, PBE-GGA.

Calculated values
Size of the total moment = 0.516 μB per atom
Energy = -1.6197 eV/atom
Formation energy (no corrections) = 0.448 eV per atom

POSCAR file:
```
AlZnCl4
1.0
0.0000 4.2768 4.2768
4.2768 0.0000 4.2768
4.2768 4.2768 0.0000
Al Zn Cl
1 1 4
Direct
0.0000 0.0000 0.0000
0.7500 0.7500 0.7500
0.8767 0.3744 0.3744
0.3744 0.3744 0.8767
0.3744 0.8767 0.3744
0.3744 0.3744 0.3744
```

***

[4]
AlZnCl: relaxed, PBE-GGA.

Calculated values
Size of the total moment = 0.000 μB per atom
Energy = -2.3743 eV/atom
Formation energy (no corrections) = -0.087 eV per atom

POSCAR file:
```
AlZnCl
1.0
5.8830 0.0327 0.0313
3.9921 4.3213 -0.0313
-4.9132 -2.2321 2.3429
Zn Al Cl
1 1 1
Direct
0.6374 0.6374 0.0000
0.0145 0.0145 0.0000
0.3480 0.3480 0.0000
```

***

[5]
Al2ZnCl: relaxed, PBE-GGA.

Calculated values
Size of the total moment = 0.000 μB per atom
Energy = -2.4467 eV/atom
Formation energy (no corrections) = 0.205 eV per atom

POSCAR file:
```
Al2ZnCl
1.0
0.0000 3.3832 3.3832
3.3832 0.0000 3.3832
3.3832 3.3832 0.0000
Zn Al Cl
1 2 1
Direct
0.5000 0.5000 0.5000
0.2500 0.2500 0.2500
0.7500 0.7500 0.7500
0.0000 0.0000 0.0000
```

***

[6]
Al2ZnCl: relaxed, PBE-GGA.

Calculated values
Size of the total moment = 0.000 μB per atom
Energy = -2.5038 eV/atom
Formation energy (no corrections) = 0.148 eV per atom

POSCAR file:
```
Al2ZnCl
1.0
-2.3283 -4.6601 2.4418
3.3517 -4.1401 2.1736
-0.5137 5.7260 0.2208
Zn Al Cl
1 2 1
Direct
0.7500 0.2500 0.5000
0.0000 0.0000 0.0000
0.2500 0.7500 0.5000
0.5000 0.5000 0.0000
```

***

[7]
Al2ZnCl: relaxed, PBE-GGA.

Calculated values
Size of the total moment = 0.000 μB per atom
Energy = -2.7800 eV/atom
Formation energy (no corrections) = -0.129 eV per atom

POSCAR file:
```
Al2ZnCl
1.0
5.0233 0.0000 0.0000
0.0000 2.8653 -0.0092
0.0000 0.0175 5.0219
Zn Al Cl
1 2 1
Direct
0.5000 0.7492 0.8748
0.0000 0.2498 0.8750
0.5000 0.2507 0.3750
0.0000 0.2502 0.3752
```

***

[8]
Al2ZnCl: relaxed, PBE-GGA.

Calculated values
Size of the total moment = 0.000 μB per atom
Energy = -2.6886 eV/atom
Formation energy (no corrections) = -0.037 eV per atom

POSCAR file:
```
Al2ZnCl
1.0
6.3850 0.0967 0.0182
5.6991 2.8807 0.0182
1.7624 0.4342 4.4830
Zn Al Cl
1 2 1
Direct
0.2937 0.2937 0.1661
0.9986 0.9986 0.0957
0.7072 0.7072 0.7506
0.5005 0.5005 0.4876
```

***

[9]
Al2ZnCl8: relaxed, PBE-GGA.

Calculated values
Size of the total moment = 0.016 μB per atom
Energy = -3.5340 eV/atom
Formation energy (no corrections) = -1.395 eV per atom

POSCAR file:
```
Al2ZnCl8
1.0
6.0072 -0.1752 -0.1499
0.5817 7.6858 0.1961
0.5817 1.3852 7.5625
Al Zn Cl
2 1 8
Direct
0.3528 0.1934 0.1934
0.6472 0.8066 0.8066
0.0000 0.0000 0.0000
0.7831 0.0742 0.7316
0.2169 0.2684 0.9258
0.7138 0.1778 0.1778
0.2862 0.8222 0.8222
0.7831 0.7316 0.0742
0.2169 0.9258 0.2684
0.2466 0.3630 0.3630
0.7534 0.6370 0.6370
```

***

[10]
AlZnCl: relaxed, PBE-GGA.

Calculated values
Size of the total moment = 0.000 μB per atom
Energy = -2.4243 eV/atom
Formation energy (no corrections) = -0.137 eV per atom

POSCAR file:
```
AlZnCl
1.0
-1.8014 1.2679 2.3713
2.9472 -1.1629 0.6519
6.1872 14.0916 -2.8344
Zn Al Cl
2 2 2
Direct
0.5564 0.1128 0.0000
0.3323 0.6645 0.5000
0.6659 0.3318 0.3650
0.6659 0.3318 0.6350
0.2231 0.4462 0.8989
0.2231 0.4462 0.1011
```

***

[11]
AlZnCl: relaxed, PBE-GGA.

Calculated values
Size of the total moment = 0.000 μB per atom
Energy = -2.4358 eV/atom
Formation energy (no corrections) = -0.148 eV per atom

POSCAR file:
```
AlZnCl
1.0
8.4518 0.0877 -0.0535
7.4823 3.1445 -0.1164
0.9696 -1.4557 2.6886
Zn Al Cl
1 1 1
Direct
0.6357 0.6357 0.3643
0.9884 0.9884 0.0116
0.3759 0.3759 0.6241
```

***

[12]
Al2ZnCl: relaxed, PBE-GGA.

Calculated values
Size of the total moment = 0.000 μB per atom
Energy = -2.6917 eV/atom
Formation energy (no corrections) = -0.040 eV per atom

POSCAR file:
```
Al2ZnCl
1.0
5.6369 0.0524 -1.5547
4.8065 2.9452 -1.5547
-0.8172 -0.2346 5.0437
Zn Al Cl
1 2 1
Direct
0.2500 0.2500 0.2500
0.9943 0.9943 0.9941
0.5057 0.5057 0.5059
0.7500 0.7500 0.7500
```

***

[13]
AlZnCl: relaxed, PBE-GGA.

Calculated values
Size of the total moment = 0.000 μB per atom
Energy = -2.2653 eV/atom
Formation energy (no corrections) = 0.022 eV per atom

POSCAR file:
```
AlZnCl
1.0
4.7827 0.0000 0.0000
2.3914 4.1420 0.0000
2.3914 1.3807 3.9051
Zn Al Cl
1 1 1
Direct
0.5000 0.5000 0.5000
0.2500 0.2500 0.2500
0.0000 0.0000 0.0000
```

***

[14]
AlZnCl: relaxed, PBE-GGA.

Calculated values
Size of the total moment = 0.000 μB per atom
Energy = -2.4849 eV/atom
Formation energy (no corrections) = -0.197 eV per atom

POSCAR file:
```
AlZnCl
1.0
-1.7459 1.3628 2.2142
0.0707 -3.1220 -0.2376
6.0970 -0.2389 4.9546
Zn Al Cl
1 1 1
Direct
0.3333 0.6667 0.7560
0.0000 0.0000 0.0139
0.6667 0.3333 0.2301
```

***

[15]
Al2ZnCl: relaxed, PBE-GGA.

Calculated values
Size of the total moment = 0.000 μB per atom
Energy = -2.4862 eV/atom
Formation energy (no corrections) = 0.165 eV per atom

POSCAR file:
```
Al2ZnCl
1.0
5.8737 0.0000 0.0000
0.0000 5.8737 0.0000
2.9369 2.9369 6.1201
Zn Al Cl
2 4 2
Direct
0.0000 0.0000 0.0000
0.7500 0.2500 0.5000
0.6587 0.1250 0.2500
0.0913 0.6250 0.2500
0.3750 0.3413 0.7500
0.8750 0.9087 0.7500
0.5000 0.5000 0.0000
0.2500 0.7500 0.5000
```

***

[16]
Al2ZnCl: relaxed, PBE-GGA.

Calculated values
Size of the total moment = 0.000 μB per atom
Energy = -2.6477 eV/atom
Formation energy (no corrections) = 0.004 eV per atom

POSCAR file:
```
Al2ZnCl
1.0
5.5306 -0.0209 -0.0391
2.2313 5.0605 0.0391
-3.0535 -3.7943 2.6209
Zn Al Cl
1 2 1
Direct
0.7500 0.2500 0.5000
0.9970 0.9970 0.0000
0.5030 0.5030 0.0000
0.2500 0.7500 0.5000
```

***

[17]
Al2ZnCl: relaxed, PBE-GGA.

Calculated values
Size of the total moment = 0.000 μB per atom
Energy = -2.5060 eV/atom
Formation energy (no corrections) = 0.145 eV per atom

POSCAR file:
```
Al2ZnCl
1.0
5.3326 0.0963 0.0000
1.8814 4.9906 0.0000
-3.6070 -2.5434 2.9944
Zn Al Cl
1 2 1
Direct
0.7500 0.2500 0.5000
0.0000 0.0000 0.0000
0.5000 0.5000 0.0000
0.2500 0.7500 0.5000
```

***

[18]
ZrAlCl2: relaxed, PBE-GGA.

Calculated values
Size of the total moment = 0.000 μB per atom
Energy = -4.2340 eV/atom
Formation energy (no corrections) = -0.238 eV per atom

POSCAR file:
```
ZrAlCl2
1.0
4.4859 0.0000 0.0000
0.0000 4.2585 0.0000
0.0000 0.0000 4.2585
Al Zr Cl
1 1 2
Direct
0.5000 0.0000 0.5000
0.5000 0.5000 0.0000
0.0000 0.0000 0.0000
0.0000 0.5000 0.5000
```

***

[19]
ZrAlCl: relaxed, PBE-GGA.

Calculated values
Size of the total moment = 0.000 μB per atom
Energy = -5.0027 eV/atom
Formation energy (no corrections) = -0.290 eV per atom

POSCAR file:
```
ZrAlCl
1.0
4.6254 0.0000 0.0000
-2.3127 4.0057 0.0000
0.0000 0.0000 3.2009
Al Zr Cl
1 1 1
Direct
0.0000 0.0000 0.9999
0.3333 0.6667 0.5001
0.6667 0.3333 0.5000
```

***

[20]
ZrAlCl4: relaxed, PBE-GGA.

Calculated values
Size of the total moment = 0.161 μB per atom
Energy = -2.9258 eV/atom
Formation energy (no corrections) = 0.354 eV per atom

POSCAR file:
```
ZrAlCl4
1.0
-3.7671 4.1986 1.2753
-0.8341 4.3604 -3.7064
-4.9772 0.4034 -2.9173
Zr Al Cl
1 1 4
Direct
0.7500 0.7500 0.7500
0.0000 0.0000 0.0000
0.8726 0.3758 0.3758
0.3758 0.3758 0.8726
0.3758 0.8726 0.3758
0.3758 0.3758 0.3758
```

***

[21]
ZrAlCl: relaxed, PBE-GGA.

Calculated values
Size of the total moment = 0.000 μB per atom
Energy = -5.5690 eV/atom
Formation energy (no corrections) = -0.857 eV per atom

POSCAR file:
```
ZrAlCl
1.0
-2.1203 0.5666 -2.3870
-0.2366 -3.1827 -0.5453
-18.6050 -1.3915 16.1959
Al Zr Cl
4 4 4
Direct
0.0000 0.0000 0.5414
0.0000 0.5000 0.0414
0.5000 0.0000 0.9797
0.5000 0.5000 0.4797
0.0000 0.0000 0.4061
0.0000 0.5000 0.9061
0.5000 0.0000 0.1174
0.5000 0.5000 0.6174
0.5000 0.0000 0.3264
0.5000 0.5000 0.8264
0.0000 0.0000 0.6825
0.0000 0.5000 0.1825
```

***

[22]
ZrAlCl2: relaxed, PBE-GGA.

Calculated values
Size of the total moment = 0.000 μB per atom
Energy = -4.7814 eV/atom
Formation energy (no corrections) = -0.785 eV per atom

POSCAR file:
```
ZrAlCl2
1.0
-5.1338 -4.4599 -3.0071
-0.6787 -2.6906 -6.8985
3.2811 0.9905 6.5987
Al Zr Cl
1 1 2
Direct
0.2500 0.7500 0.5000
0.7500 0.2500 0.5000
0.9040 0.9040 0.0000
0.5960 0.5960 0.0000
```

***

[23]
ZrAlCl: relaxed, PBE-GGA.

Calculated values
Size of the total moment = 0.000 μB per atom
Energy = -5.4254 eV/atom
Formation energy (no corrections) = -0.713 eV per atom

POSCAR file:
```
ZrAlCl
1.0
3.1869 0.0000 0.0000
0.0000 3.1717 0.0000
0.0000 0.0000 12.7045
Al Zr Cl
2 2 2
Direct
0.0000 0.0000 0.0253
0.0000 0.5000 0.5253
0.5000 0.0000 0.6652
0.5000 0.5000 0.1652
0.0000 0.0000 0.8303
0.0000 0.5000 0.3303
```

***

[24]
ZrAlCl: relaxed, PBE-GGA.

Calculated values
Size of the total moment = 0.000 μB per atom
Energy = -5.4959 eV/atom
Formation energy (no corrections) = -0.783 eV per atom

POSCAR file:
```
ZrAlCl
1.0
-4.2523 0.3649 0.3787
-0.8571 -17.8745 7.6014
0.4225 1.4169 3.3795
Al Zr Cl
4 4 4
Direct
0.0000 0.0436 0.2500
0.0000 0.9564 0.7500
0.5000 0.5436 0.2500
0.5000 0.4564 0.7500
0.0000 0.4282 0.2500
0.0000 0.5718 0.7500
0.5000 0.9282 0.2500
0.5000 0.0718 0.7500
0.0000 0.6697 0.2500
0.0000 0.3303 0.7500
0.5000 0.1697 0.2500
0.5000 0.8303 0.7500
```

***

[25]
ZrAlCl2: relaxed, PBE-GGA.

Calculated values
Size of the total moment = 0.000 μB per atom
Energy = -4.7331 eV/atom
Formation energy (no corrections) = -0.737 eV per atom

POSCAR file:
```
ZrAlCl2
1.0
4.9154 0.0000 0.0000
0.0000 3.3640 -0.0025
0.0000 1.6826 4.8288
Al Zr Cl
1 1 2
Direct
0.5000 0.7091 0.7059
0.0000 0.3153 0.4948
0.0000 0.0255 0.0738
0.5000 0.4501 0.2255
```

***

[26]
ZrAlCl: relaxed, PBE-GGA.

Calculated values
Size of the total moment = 0.000 μB per atom
Energy = -4.5731 eV/atom
Formation energy (no corrections) = 0.139 eV per atom

POSCAR file:
```
ZrAlCl
1.0
-0.7680 1.2335 4.1681
-4.0744 1.1549 1.2449
-2.3143 -2.6270 2.6883
Al Zr Cl
1 1 1
Direct
0.5000 0.5000 0.5000
0.0000 0.0000 0.0000
0.7500 0.7500 0.7500
```

***

[27]
ZrAlCl: relaxed, PBE-GGA.

Calculated values
Size of the total moment = 0.000 μB per atom
Energy = -5.4247 eV/atom
Formation energy (no corrections) = -0.712 eV per atom

POSCAR file:
```
ZrAlCl
1.0
-2.0374 -5.9142 1.0518
2.8031 -0.7346 1.2991
-4.3611 3.5310 11.4062
Al Zr Cl
4 4 4
Direct
0.2500 0.5021 0.6829
0.7500 0.4979 0.6829
0.2500 0.0021 0.1829
0.7500 0.9979 0.1829
0.0000 0.0000 0.5426
0.5000 0.0000 0.5426
0.0000 0.5000 0.0426
0.5000 0.5000 0.0426
0.2500 0.5687 0.8774
0.7500 0.4313 0.8774
0.2500 0.0687 0.3774
0.7500 0.9313 0.3774
```

***

[28]
ZrAlCl2: relaxed, PBE-GGA.

Calculated values
Size of the total moment = 0.659 μB per atom
Energy = -3.9790 eV/atom
Formation energy (no corrections) = 0.017 eV per atom

POSCAR file:
```
ZrAlCl2
1.0
4.9740 0.0000 0.0000
2.4870 4.3076 0.0000
2.4870 1.4359 4.0612
Al Zr Cl
1 1 2
Direct
0.5000 0.5000 0.5000
0.7500 0.7500 0.7500
0.0000 0.0000 0.0000
0.2500 0.2500 0.2500
```